Record 1
VASP calculation (PBE-GGA) on an optimized crystal structure of TaZnCo2.

Output
Spin magnetization (Bohr magnetons per cell): 0.00

Unit cell a=3.041 b=3.103 c=5.578 alpha=90.00 beta=90.00 gamma=90.00
Sites, in units of the cell vectors:
Ta (0.000, 0.000, 0.000)
Zn (0.000, 0.000, 0.500)
Co (0.500, 0.500, 0.250)
Co (0.500, 0.500, 0.750)

***

Record 2
VASP calculation (PBE-GGA) on an optimized crystal structure of TaZnCo.

Output
Energy above the most stable polymorph in this dataset (meV per atom): 876
Spin magnetization (Bohr magnetons per cell): 0.87

Unit cell a=5.906 b=5.906 c=5.906 alpha=90.00 beta=90.00 gamma=90.00
Sites, in units of the cell vectors:
Ta (0.000, 0.000, 0.000)
Ta (0.000, 0.500, 0.500)
Ta (0.500, 0.000, 0.500)
Ta (0.500, 0.500, 0.000)
Zn (0.250, 0.250, 0.250)
Zn (0.250, 0.750, 0.750)
Zn (0.750, 0.250, 0.750)
Zn (0.750, 0.750, 0.250)
Co (0.250, 0.250, 0.750)
Co (0.250, 0.750, 0.250)
Co (0.750, 0.250, 0.250)
Co (0.750, 0.750, 0.750)

***

Record 3
VASP calculation (PBE-GGA) on an optimized crystal structure of Ta2Zn2Co3.

Output
Spin magnetization (Bohr magnetons per cell): 0.53

Unit cell a=4.223 b=4.235 c=6.895 alpha=107.71 beta=90.18 gamma=119.75
Sites, in units of the cell vectors:
Ta (0.114, 0.229, 0.341)
Ta (0.886, 0.771, 0.659)
Zn (0.367, 0.737, 0.102)
Zn (0.633, 0.263, 0.898)
Co (0.240, 0.476, 0.720)
Co (0.500, 0.000, 0.500)
Co (0.760, 0.524, 0.280)

***

Record 4
VASP calculation (PBE-GGA) on an optimized crystal structure of TaZnCo6.

Output
Spin magnetization (Bohr magnetons per cell): 26.27

Unit cell a=6.280 b=6.280 c=10.248 alpha=90.00 beta=90.00 gamma=109.64
Sites, in units of the cell vectors:
Ta (0.000, 0.000, 0.249)
Ta (0.000, 0.000, 0.751)
Ta (0.243, 0.757, 0.000)
Ta (0.757, 0.243, 0.000)
Zn (0.245, 0.755, 0.500)
Zn (0.500, 0.500, 0.251)
Zn (0.500, 0.500, 0.749)
Zn (0.755, 0.245, 0.500)
Co (0.000, 0.000, 0.000)
Co (0.000, 0.000, 0.500)
Co (0.129, 0.383, 0.377)
Co (0.129, 0.383, 0.623)
Co (0.131, 0.379, 0.127)
Co (0.131, 0.379, 0.873)
Co (0.252, 0.748, 0.254)
Co (0.252, 0.748, 0.746)
Co (0.379, 0.131, 0.127)
Co (0.379, 0.131, 0.873)
Co (0.383, 0.129, 0.377)
Co (0.383, 0.129, 0.623)
Co (0.500, 0.500, 0.000)
Co (0.500, 0.500, 0.500)
Co (0.617, 0.871, 0.377)
Co (0.617, 0.871, 0.623)
Co (0.621, 0.869, 0.127)
Co (0.621, 0.869, 0.873)
Co (0.748, 0.252, 0.254)
Co (0.748, 0.252, 0.746)
Co (0.869, 0.621, 0.127)
Co (0.869, 0.621, 0.873)
Co (0.871, 0.617, 0.377)
Co (0.871, 0.617, 0.623)

***

What did we get for E_form? Answer: -0.1895, 0.7034, -0.1498, -0.0527 eV per atom, in the order shown.
What did we get for calculated density? Answer: 11491, 9843, 11096, 10468 kg/m3, in the order shown.